[1]
Density functional theory data (PBE) for a relaxed structure of CaLa5Sb4.

Output
total energy = -51.276 eV/f.u.
uncorrected formation energy = -0.815 eV per atom
DOS(E_F) = 16.28 states/eV/cell

The structure in CIF format:
```
data_CaLa5Sb4
_space_group_name_H-M_alt 'C 1 2/m 1'
_space_group_IT_number 12
_cell_length_a 19.712
_cell_length_b 4.507
_cell_length_c 9.027
_cell_angle_alpha 90.00
_cell_angle_beta 104.94
_cell_angle_gamma 90.00
loop_
_space_group_symop_operation_xyz
'x,y,z'
'-x,-y,-z'
'-x,y,-z'
'x,-y,z'
'x+1/2,y+1/2,z'
'-x+1/2,-y+1/2,-z'
'-x+1/2,y+1/2,-z'
'x+1/2,-y+1/2,z'
loop_
_atom_site_label
_atom_site_type_symbol
_atom_site_fract_x
_atom_site_fract_y
_atom_site_fract_z
Ca1 Ca 0.000 0.000 0.000
La1 La 0.000 0.000 0.500
La2 La 0.163 0.500 0.831
La3 La 0.171 0.500 0.336
Sb1 Sb 0.006 0.500 0.255
Sb2 Sb 0.169 0.000 0.086
```


[2]
Density functional theory data (PBE) for a relaxed structure of PaNb2Sn.

Output
total energy = -33.824 eV/f.u.
energy relative to the elements = -0.0465 eV per atom
excess energy over the best structure of this formula in the dataset = 72 meV/atom
DOS(E_F) = 18.86 states/eV/cell

The structure in CIF format:
```
data_PaNb2Sn
_space_group_name_H-M_alt 'F m -3 m'
_space_group_IT_number 225
_space_group_name_Hall '-F 4 2 3'
_cell_length_a 6.902
_cell_length_b 6.902
_cell_length_c 6.902
_cell_angle_alpha 90.00
_cell_angle_beta 90.00
_cell_angle_gamma 90.00
loop_
_atom_site_label
_atom_site_type_symbol
_atom_site_fract_x
_atom_site_fract_y
_atom_site_fract_z
Pa1 Pa 0.000 0.000 0.000
Nb1 Nb 0.250 0.250 0.250
Sn1 Sn 0.000 0.000 0.500
```


[3]
Density functional theory data (PBE) for a relaxed structure of AcHoMgGe.

Output
total energy = -15.975 eV/f.u.
energy relative to the elements = -0.2691 eV per atom
DOS(E_F) = 13.54 states/eV/cell

The structure in CIF format:
```
data_AcHoMgGe
_space_group_name_H-M_alt 'F -4 3 m'
_space_group_IT_number 216
_space_group_name_Hall 'F -4 2 3'
_cell_length_a 7.619
_cell_length_b 7.619
_cell_length_c 7.619
_cell_angle_alpha 90.00
_cell_angle_beta 90.00
_cell_angle_gamma 90.00
loop_
_atom_site_label
_atom_site_type_symbol
_atom_site_fract_x
_atom_site_fract_y
_atom_site_fract_z
Ac1 Ac 0.000 0.000 0.000
Ho1 Ho 0.000 0.000 0.500
Mg1 Mg 0.250 0.250 0.250
Ge1 Ge 0.250 0.250 0.750
```